No. 1
Entry from the Alexandria database: crystalline DyEr2Si2 at its relaxed geometry (PBE-GGA).

## Properties
N(E_F)	0.593	states/eV per atom
M_tot	0.0	μB/f.u.
DFT total energy	-5.50	eV per atom
calculated density	7.781	g/cm3

Cell lengths 4.3087, 6.4028, 9.4409 Å; angles 77.63, 76.81, 70.34 degrees
Last column: nearest neighbours and their distance in Å.
Fractional coordinates of all 10 atoms:
Dy (0.7820, 0.0799, 0.3560)  4 Si 2.82-2.94
Dy (0.2180, 0.9201, 0.6440)  4 Si 2.82-2.94
Er (0.3153, 0.2832, 0.0863)  2 Si 2.92
Er (0.4835, 0.3460, 0.6871)  6 Si 2.99-3.15
Er (0.6847, 0.7168, 0.9137)  2 Si 2.92
Er (0.5165, 0.6540, 0.3129)  6 Si 2.99-3.15
Si (0.9699, 0.1612, 0.8990)  1 Si 2.48
Si (0.1122, 0.3377, 0.4379)  1 Si 2.41
Si (0.0301, 0.8388, 0.1010)  1 Si 2.48
Si (0.8878, 0.6623, 0.5621)  1 Si 2.41

No. 2
Entry from the Alexandria database: crystalline ReAsPt2 at its relaxed geometry (PBE-GGA).

## Properties
formation energy from the elements	0.119	eV/atom
N(E_F)	0.908	states/eV per atom
M_tot	0.0	μB/f.u.
DFT total energy	-7.18	eV per atom
calculated density	17.298	g/cm3

Cell lengths 4.1438, 2.8793, 5.4355 Å; angles 74.60, 90.00, 90.00 degrees
Last column: nearest neighbours and their distance in Å.
Fractional coordinates of all 4 atoms:
Re (0.0000, 0.6876, 0.4986)  2 As 2.50, 1 Pt 2.75
As (0.5000, 0.5559, 0.7664)  2 Re 2.50, 5 Pt 2.59-2.75
Pt (0.0000, 0.9500, 0.9737)  4 As 2.74-2.75, 3 Re 2.75-2.88, 6 Pt 2.88-2.94
Pt (0.5000, 0.3066, 0.2613)  1 As 2.59, 4 Re 2.81, 2 Pt 2.88

No. 3
Entry from the Alexandria database: crystalline PrZr2GeO8 at its relaxed geometry (PBE-GGA).

## Properties
N(E_F)	0.374	states/eV per atom
M_tot	1.0	μB/f.u.
DFT total energy	-8.12	eV per atom
calculated density	5.383	g/cm3

Cell lengths 4.9143, 4.9154, 6.7007 Å; angles 90.00, 90.00, 87.03 degrees
Last column: nearest neighbours and their distance in Å.
Fractional coordinates of all 12 atoms:
Pr (0.0000, 0.0000, 0.5000)  6 O 2.32-2.40
Zr (0.5000, 0.5000, 0.7548)  6 O 2.08-2.23
Zr (0.5000, 0.5000, 0.2452)  6 O 2.08-2.23
Ge (0.0000, 0.0000, 0.0000)  6 O 1.89-2.06
O (0.1947, 0.8040, 0.2019)  1 Ge 1.89, 1 Zr 2.08
O (0.7105, 0.7117, 0.0000)  1 Ge 2.06, 2 Zr 2.23
O (0.8052, 0.1960, 0.2019)  1 Ge 1.89, 1 Zr 2.08
O (0.8053, 0.1960, 0.7981)  1 Ge 1.89, 1 Zr 2.08
O (0.2895, 0.2883, 0.0000)  1 Ge 2.06, 2 Zr 2.23
O (0.1948, 0.8040, 0.7981)  1 Ge 1.89, 1 Zr 2.08
O (0.6740, 0.6760, 0.5000)  2 Zr 2.11, 1 Pr 2.32
O (0.3260, 0.3240, 0.5000)  2 Zr 2.11, 1 Pr 2.32

No. 4
Entry from the Alexandria database: crystalline Ga3PdPt6 at its relaxed geometry (PBE-GGA).

## Properties
formation energy from the elements	-0.397	eV/atom
N(E_F)	0.592	states/eV per atom
M_tot	0.0	μB/f.u.
DFT total energy	-5.45	eV per atom
calculated density	15.012	g/cm3

Cell lengths 5.5962, 7.9892, 7.9892 Å; angles 113.01, 90.00, 90.00 degrees
Last column: nearest neighbours and their distance in Å.
Fractional coordinates of all 20 atoms:
Ga (0.3725, 0.9719, 0.6755)  6 Pt 2.51-2.64, 1 Pd 2.65
Ga (0.8725, 0.6755, 0.9719)  6 Pt 2.51-2.64, 1 Pd 2.65
Ga (0.3332, 0.4312, 0.5688)  7 Pt 2.54-2.79, 1 Pd 2.64
Ga (0.8332, 0.5688, 0.4312)  7 Pt 2.54-2.79, 1 Pd 2.64
Ga (0.8725, 0.0281, 0.3245)  6 Pt 2.51-2.64, 1 Pd 2.65
Ga (0.3725, 0.3245, 0.0281)  6 Pt 2.51-2.64, 1 Pd 2.65
Pd (0.0953, 0.2602, 0.7398)  3 Ga 2.64-2.65, 6 Pt 2.75-2.86
Pd (0.5953, 0.7398, 0.2602)  3 Ga 2.64-2.65, 6 Pt 2.75-2.86
Pt (0.1025, 0.7279, 0.7098)  4 Ga 2.54-2.63, 5 Pt 2.74-2.84
Pt (0.6025, 0.7098, 0.7279)  4 Ga 2.54-2.63, 5 Pt 2.74-2.84
Pt (0.3289, 0.5961, 0.9473)  3 Ga 2.51-2.79, 3 Pt 2.72-2.81, 1 Pd 2.75
Pt (0.8289, 0.9473, 0.5961)  3 Ga 2.51-2.79, 3 Pt 2.72-2.81, 1 Pd 2.75
Pt (0.3454, 0.9893, 0.0107)  2 Ga 2.63, 6 Pt 2.81-2.87
Pt (0.6038, 0.2756, 0.7244)  3 Ga 2.57-2.64, 2 Pt 2.72, 2 Pd 2.76-2.85
Pt (0.1038, 0.7244, 0.2756)  3 Ga 2.57-2.64, 2 Pt 2.72, 2 Pd 2.76-2.85
Pt (0.8454, 0.0107, 0.9893)  2 Ga 2.63, 6 Pt 2.81-2.87
Pt (0.3289, 0.0527, 0.4039)  3 Ga 2.51-2.79, 3 Pt 2.72-2.81, 1 Pd 2.75
Pt (0.8289, 0.4039, 0.0527)  3 Ga 2.51-2.79, 3 Pt 2.72-2.81, 1 Pd 2.75
Pt (0.1025, 0.2902, 0.2721)  4 Ga 2.54-2.63, 5 Pt 2.74-2.84
Pt (0.6025, 0.2721, 0.2902)  4 Ga 2.54-2.63, 5 Pt 2.74-2.84